P:
VASP calculation (PBE-GGA) on a geometry-optimized ReNi3Rh3 structure.

* crystal system: hexagonal
* density of states at the Fermi level: 1.6527 states/eV/atom

Cell lengths 2.6268, 9.6568, 9.6568 Å; angles 120.00, 90.00, 90.00 degrees
Closest atoms and distances in Å follow each position.
Atoms (fractional coordinates):
Re1 0.2500 0.6667 0.3333  3 Rh 2.37, 2 Re 2.63
Re2 0.7500 0.3333 0.6667  3 Rh 2.37, 2 Re 2.63
Ni1 0.7500 0.8839 0.7610  6 Ni 2.39-2.63, 3 Rh 2.55-2.65
Ni2 0.7500 0.8771 0.1161  6 Ni 2.39-2.63, 3 Rh 2.55-2.65
Ni3 0.2500 0.7610 0.8771  6 Ni 2.39-2.63, 3 Rh 2.55-2.65
Ni4 0.7500 0.2390 0.1229  6 Ni 2.39-2.63, 3 Rh 2.55-2.65
Ni5 0.2500 0.1229 0.8839  6 Ni 2.39-2.63, 3 Rh 2.55-2.65
Ni6 0.2500 0.1161 0.2390  6 Ni 2.39-2.63, 3 Rh 2.55-2.65
Rh1 0.7500 0.5626 0.9255  1 Re 2.37, 3 Ni 2.55-2.65, 4 Rh 2.63-2.64
Rh2 0.7500 0.3630 0.4374  1 Re 2.37, 3 Ni 2.55-2.65, 4 Rh 2.63-2.64
Rh3 0.2500 0.9255 0.3630  1 Re 2.37, 3 Ni 2.55-2.65, 4 Rh 2.63-2.64
Rh4 0.7500 0.0745 0.6370  1 Re 2.37, 3 Ni 2.55-2.65, 4 Rh 2.63-2.64
Rh5 0.2500 0.6370 0.5626  1 Re 2.37, 3 Ni 2.55-2.65, 4 Rh 2.63-2.64
Rh6 0.2500 0.4374 0.0745  1 Re 2.37, 3 Ni 2.55-2.65, 4 Rh 2.63-2.64

---

Q:
VASP calculation (PBE-GGA) on a geometry-optimized ReNi3Rh3 structure.

* crystal system: cubic
* density of states at the Fermi level: 1.5574 states/eV/atom

Cell lengths 7.2987, 7.2987, 7.2987 Å; angles 90.00, 90.00, 90.00 degrees
Closest atoms and distances in Å follow each position.
Atoms (fractional coordinates):
Re1 0.1545 0.6545 0.8455  1 Ni 2.38, 6 Rh 2.50-2.56
Re2 0.8455 0.1545 0.6545  1 Ni 2.38, 6 Rh 2.50-2.56
Re3 0.3455 0.3455 0.3455  1 Ni 2.38, 6 Rh 2.50-2.56
Re4 0.6545 0.8455 0.1545  1 Ni 2.38, 6 Rh 2.50-2.56
Ni1 0.8557 0.3557 0.1443  6 Rh 2.52, 3 Ni 2.64
Ni2 0.9613 0.9613 0.9613  1 Ni 2.48, 3 Rh 2.62, 3 Re 2.78
Ni3 0.8424 0.6576 0.3424  1 Re 2.38, 4 Ni 2.48-2.64, 3 Rh 2.53
Ni4 0.1443 0.8557 0.3557  6 Rh 2.52, 3 Ni 2.64
Ni5 0.1576 0.1576 0.1576  1 Re 2.38, 4 Ni 2.48-2.64, 3 Rh 2.53
Ni6 0.3424 0.8424 0.6576  1 Re 2.38, 4 Ni 2.48-2.64, 3 Rh 2.53
Ni7 0.0387 0.4613 0.5387  1 Ni 2.48, 3 Rh 2.62, 3 Re 2.78
Ni8 0.3557 0.1443 0.8557  6 Rh 2.52, 3 Ni 2.64
Ni9 0.6576 0.3424 0.8424  1 Re 2.38, 4 Ni 2.48-2.64, 3 Rh 2.53
Ni10 0.6443 0.6443 0.6443  6 Rh 2.52, 3 Ni 2.64
Ni11 0.5387 0.0387 0.4613  1 Ni 2.48, 3 Rh 2.62, 3 Re 2.78
Ni12 0.4613 0.5387 0.0387  1 Ni 2.48, 3 Rh 2.62, 3 Re 2.78
Rh1 0.8181 0.6327 0.9423  2 Re 2.50-2.56, 5 Ni 2.52-2.78, 2 Rh 2.78
Rh2 0.8673 0.0577 0.3181  2 Re 2.50-2.56, 5 Ni 2.52-2.78, 2 Rh 2.78
Rh3 0.9423 0.8181 0.6327  2 Re 2.50-2.56, 5 Ni 2.52-2.78, 2 Rh 2.78
Rh4 0.1327 0.5577 0.1819  2 Re 2.50-2.56, 5 Ni 2.52-2.78, 2 Rh 2.78
Rh5 0.1819 0.1327 0.5577  2 Re 2.50-2.56, 5 Ni 2.52-2.78, 2 Rh 2.78
Rh6 0.3181 0.8673 0.0577  2 Re 2.50-2.56, 5 Ni 2.52-2.78, 2 Rh 2.78
Rh7 0.0577 0.3181 0.8673  2 Re 2.50-2.56, 5 Ni 2.52-2.78, 2 Rh 2.78
Rh8 0.3673 0.4423 0.6819  2 Re 2.50-2.56, 5 Ni 2.52-2.78, 2 Rh 2.78
Rh9 0.5577 0.1819 0.1327  2 Re 2.50-2.56, 5 Ni 2.52-2.78, 2 Rh 2.78
Rh10 0.6327 0.9423 0.8181  2 Re 2.50-2.56, 5 Ni 2.52-2.78, 2 Rh 2.78
Rh11 0.6819 0.3673 0.4423  2 Re 2.50-2.56, 5 Ni 2.52-2.78, 2 Rh 2.78
Rh12 0.4423 0.6819 0.3673  2 Re 2.50-2.56, 5 Ni 2.52-2.78, 2 Rh 2.78

---

Short version: P is the least stable of them.

---

P:
VASP calculation (PBE-GGA) on a geometry-optimized ReNi2Rh structure.

* crystal system: monoclinic
* density of states at the Fermi level: 1.4132 states/eV/atom

Cell lengths 4.4948, 4.4948, 4.5770 Å; angles 80.12, 80.12, 34.64 degrees
Closest atoms and distances in Å follow each position.
Atoms (fractional coordinates):
Ni1 0.0015 0.0015 0.9864  6 Ni 2.55-2.76, 3 Re 2.58, 3 Rh 2.63-2.64
Ni2 0.4985 0.4985 0.5136  6 Ni 2.55-2.76, 3 Re 2.58, 3 Rh 2.63-2.64
Re1 0.7500 0.7500 0.7500  6 Ni 2.58, 4 Rh 2.65, 2 Re 2.68
Rh1 0.2500 0.2500 0.2500  6 Ni 2.63-2.64, 4 Re 2.65, 2 Rh 2.68

---

Q:
VASP calculation (PBE-GGA) on a geometry-optimized ReNi2Rh structure.

* crystal system: monoclinic
* density of states at the Fermi level: 1.2840 states/eV/atom

Cell lengths 2.6511, 5.7670, 7.0226 Å; angles 89.70, 79.12, 76.71 degrees
Closest atoms and distances in Å follow each position.
Atoms (fractional coordinates):
Re1 0.1238 0.9366 0.8158  6 Ni 2.58-2.62, 3 Re 2.61-2.65, 3 Rh 2.67-2.71
Re2 0.8762 0.0634 0.1841  6 Ni 2.58-2.62, 3 Re 2.61-2.65, 3 Rh 2.67-2.71
Ni1 0.6281 0.6859 0.0579  7 Ni 2.53-2.65, 4 Re 2.59-2.62, 1 Rh 2.65
Ni2 0.3719 0.3142 0.9420  7 Ni 2.53-2.65, 4 Re 2.59-2.62, 1 Rh 2.65
Ni3 0.8683 0.5620 0.7013  5 Ni 2.53-2.65, 4 Rh 2.57-2.67, 2 Re 2.58
Ni4 0.1317 0.4380 0.2986  5 Ni 2.53-2.65, 4 Rh 2.57-2.67, 2 Re 2.58
Rh1 0.3829 0.7993 0.4348  5 Ni 2.57-2.67, 4 Rh 2.65-2.74, 3 Re 2.67-2.71
Rh2 0.6171 0.2008 0.5651  5 Ni 2.57-2.67, 4 Rh 2.65-2.74, 3 Re 2.67-2.71

---

Short version: P is the least stable of them.